This record from Alexandria describes crystalline PmTiCu4 at its relaxed geometry. The functional is PBE.

Unit cell a=7.254 b=7.254 c=7.254 alpha=90.00 beta=90.00 gamma=90.00
Space group F-43m (No. 216)
Asymmetric unit:
Pm (0.000, 0.000, 0.000) [4 per cell]
Ti (0.250, 0.250, 0.750) [4 per cell]
Cu (0.123, 0.123, 0.377) [16 per cell]

Calculated values
Its total moment is 1.46 μB per formula unit. The calculated formation energy comes out at 0.009 eV/atom. The density of states at the Fermi level comes out at 31.85 states/eV/cell.

***

This record from Alexandria describes crystalline SmDyHoMg at its relaxed geometry. The functional is PBE.

Unit cell a=7.810 b=7.810 c=7.810 alpha=90.00 beta=90.00 gamma=90.00
Space group F-43m (No. 216)
Asymmetric unit:
Sm (0.000, 0.000, 0.000) [4 per cell]
Dy (0.000, 0.000, 0.500) [4 per cell]
Ho (0.250, 0.250, 0.250) [4 per cell]
Mg (0.250, 0.250, 0.750) [4 per cell]

Calculated values
Its total moment is 0.00 μB per formula unit. The calculated formation energy comes out at 0.040 eV/atom. The density of states at the Fermi level comes out at 20.51 states/eV/cell.

***

- Which value of total moment does entry 2 give?
  0.00 μB per formula unit